Here is KSnMoO6 after structural relaxation from Alexandria via LeMat-Bulk. Energies are from GGA+U.

abc: 5.522 5.522 11.571
angles: 90.00 90.00 120.00
Each line ends with the local moment (μB).
Fractional coordinates of all 18 atoms:
Mo 0.667 0.333 0.250  -0.12
Mo 0.333 0.667 0.750  -0.12
O 0.412 0.394 0.346  0.16
O 0.394 0.982 0.654  0.16
O 0.606 0.588 0.154  0.16
O 0.412 0.018 0.154  0.16
O 0.606 0.018 0.346  0.16
O 0.018 0.606 0.846  0.16
O 0.982 0.588 0.346  0.16
O 0.394 0.412 0.846  0.16
O 0.588 0.606 0.654  0.16
O 0.982 0.394 0.154  0.16
O 0.588 0.982 0.846  0.16
O 0.018 0.412 0.654  0.16
Sn 0.333 0.667 0.250  0.00
Sn 0.667 0.333 0.750  0.00
K 0.000 0.000 0.000  0.00
K 0.000 0.000 0.500  0.00

Output
E_tot = -109.2 eV/cell
calculated volume = 17.0 Å³ per atom
space group = No. 163